Record 1
Here is a relaxed structure of Ho3Tl2Cu from the Alexandria database. Energies are from GGA-PBE.

Calculated values
For the polymorph energy (0 for the lowest one), the calculation gives 0.0 meV per atom. The space-group type is P4/mmm. As for the crystal system: tetragonal. As for the density of states at the Fermi level: 3.2 states/eV/f.u. The energy of formation is -0.31 eV per atom.

Geometry as extended XYZ:
```
6
Lattice="3.542 0.000 0.000 0.000 3.542 0.000 0.000 0.000 11.918" Properties=species:S:1:pos:R:3 pbc="T T T"
Ho 0.000 0.000 0.000
Ho 0.000 0.000 4.274
Ho 0.000 0.000 7.643
Tl 1.771 1.771 2.134
Tl 1.771 1.771 9.783
Cu 1.771 1.771 5.959
```


Record 2
Here is a relaxed structure of Ho6TlCu from the Alexandria database. Energies are from GGA-PBE.

Calculated values
The space-group type is P-1. As for the crystal system: triclinic. As for the density of states at the Fermi level: 10.1 states/eV/f.u. The energy of formation is 0.14 eV per atom.

Geometry as extended XYZ:
```
8
Lattice="6.906 0.000 0.000 3.161 6.152 0.000 3.173 1.940 5.836" Properties=species:S:1:pos:R:3 pbc="T T T"
Ho 2.446 2.528 2.549
Ho 4.851 2.274 5.667
Ho 7.148 4.747 4.508
Ho 6.093 3.346 1.327
Ho 8.390 5.819 0.169
Ho 10.794 5.565 3.287
Tl 5.040 0.970 2.918
Cu 1.581 3.076 0.000
```


Record 3
Here is a relaxed structure of Ho5Tl4Cu from the Alexandria database. Energies are from GGA-PBE.

Calculated values
The space-group type is P4/mmm. As for the crystal system: tetragonal. As for the density of states at the Fermi level: 5.3 states/eV/f.u. The energy of formation is -0.32 eV per atom.

Geometry as extended XYZ:
```
10
Lattice="3.579 0.000 0.000 0.000 3.579 0.000 0.000 0.000 20.200" Properties=species:S:1:pos:R:3 pbc="T T T"
Ho 0.000 0.000 0.000
Ho 0.000 0.000 4.221
Ho 0.000 0.000 8.443
Ho 0.000 0.000 11.757
Ho 0.000 0.000 15.979
Tl 1.789 1.789 2.113
Tl 1.789 1.789 6.323
Tl 1.789 1.789 13.876
Tl 1.789 1.789 18.087
Cu 1.789 1.789 10.100
```


Record 4
Here is a relaxed structure of HoTlCu from the Alexandria database. Energies are from GGA-PBE.

Calculated values
The space-group type is F-43m. As for the crystal system: cubic. As for the density of states at the Fermi level: 3.5 states/eV/f.u. The energy of formation is -0.19 eV per atom.

Geometry as extended XYZ:
```
3
Lattice="0.000 3.277 3.277 3.277 0.000 3.277 3.277 3.277 0.000" Properties=species:S:1:pos:R:3 pbc="T T T"
Ho 0.000 0.000 0.000
Tl 3.277 3.277 3.277
Cu 4.915 4.915 4.915
```


Record 5
Here is a relaxed structure of Ho12Tl5Cu3 from the Alexandria database. Energies are from GGA-PBE.

Calculated values
The space-group type is Ia-3d. As for the crystal system: cubic. As for the density of states at the Fermi level: 26.4 states/eV/f.u. The energy of formation is 0.34 eV per atom.

Geometry as extended XYZ:
```
80
Lattice="-8.681 8.681 8.681 8.681 -8.681 8.681 8.681 8.681 -8.681" Properties=species:S:1:pos:R:3 pbc="T T T"
Ho 8.394 -1.497 2.559
Ho 13.309 -1.782 2.843
Ho 2.559 -0.287 1.497
Ho 10.463 5.838 -4.628
Ho 11.240 0.287 1.497
Ho 10.463 -2.843 4.628
Ho 1.497 2.559 -0.287
Ho 11.525 4.054 -1.782
Ho 5.838 4.628 -1.782
Ho 7.184 2.559 0.287
Ho -0.287 1.497 2.559
Ho 4.628 -1.782 5.838
Ho 8.394 7.184 -2.559
Ho 4.628 1.782 2.843
Ho 7.184 -2.559 8.394
Ho 5.838 -4.628 10.463
Ho 2.843 4.628 1.782
Ho 10.179 6.123 0.287
Ho 2.559 8.394 -1.497
Ho 10.463 2.843 4.054
Ho 1.782 2.843 4.628
Ho 2.559 0.287 7.184
Ho 4.628 10.463 -2.843
Ho 8.394 1.497 6.123
Ho 0.287 7.184 2.559
Ho 4.054 -1.782 11.525
Ho 6.123 8.394 1.497
Ho 6.899 5.838 4.054
Ho -1.782 5.838 4.628
Ho 6.123 0.287 10.179
Ho -1.497 2.559 8.394
Ho 5.838 4.054 6.899
Ho 2.843 13.309 -1.782
Ho 1.497 11.240 0.287
Ho 4.054 6.899 5.838
Ho 0.287 1.497 11.240
Ho 4.054 10.463 2.843
Ho 8.969 7.184 6.123
Ho 1.497 6.123 8.394
Ho 2.843 4.054 10.463
Ho -2.843 4.628 10.463
Ho 7.184 6.123 8.969
Ho -1.782 11.525 4.054
Ho -2.559 8.394 7.184
Ho -1.782 2.843 13.309
Ho 6.123 8.969 7.184
Ho -4.628 10.463 5.838
Ho 0.287 10.179 6.123
Tl 0.000 0.000 0.000
Tl 4.341 4.341 -4.341
Tl 4.341 -4.341 4.341
Tl 8.681 0.000 0.000
Tl 13.022 2.170 0.000
Tl 8.681 -4.341 6.511
Tl 6.511 8.681 -4.341
Tl 6.511 0.000 4.341
Tl 4.341 6.511 0.000
Tl 8.681 4.341 2.170
Tl -4.341 4.341 4.341
Tl 0.000 8.681 0.000
Tl 0.000 0.000 8.681
Tl 4.341 4.341 4.341
Tl 0.000 4.341 6.511
Tl 4.341 2.170 8.681
Tl 2.170 8.681 4.341
Tl 2.170 0.000 13.022
Tl 0.000 13.022 2.170
Tl -4.341 6.511 8.681
Cu 4.341 2.170 0.000
Cu 8.681 4.341 -2.170
Cu 2.170 0.000 4.341
Cu 10.852 0.000 4.341
Cu 0.000 4.341 2.170
Cu 4.341 -2.170 8.681
Cu 4.341 10.852 0.000
Cu 8.681 4.341 6.511
Cu -2.170 8.681 4.341
Cu 6.511 8.681 4.341
Cu 0.000 4.341 10.852
Cu 4.341 6.511 8.681
```


Record 6
Here is a relaxed structure of Ho4TlCu3 from the Alexandria database. Energies are from GGA-PBE.

Calculated values
The space-group type is R-3m. As for the crystal system: trigonal. As for the density of states at the Fermi level: 3.9 states/eV/f.u. The energy of formation is -0.25 eV per atom.

Geometry as extended XYZ:
```
8
Lattice="2.504 1.446 8.201 -2.504 1.446 8.201 0.000 -2.891 8.201" Properties=species:S:1:pos:R:3 pbc="T T T"
Ho 0.000 0.000 2.891
Ho 0.000 0.000 9.076
Ho 0.000 0.000 15.528
Ho 0.000 0.000 21.712
Tl 0.000 0.000 12.302
Cu 0.000 0.000 0.000
Cu 0.000 0.000 6.095
Cu 0.000 0.000 18.508
```


Record 7
Here is a relaxed structure of HoTlCu from the Alexandria database. Energies are from GGA-PBE.

Calculated values
The space-group type is P4/nmm. As for the crystal system: tetragonal. As for the density of states at the Fermi level: 1.8 states/eV/f.u. The energy of formation is -0.09 eV per atom.

Geometry as extended XYZ:
```
6
Lattice="4.283 0.000 0.000 0.000 4.283 0.000 0.000 0.000 7.514" Properties=species:S:1:pos:R:3 pbc="T T T"
Ho 1.071 1.071 1.134
Ho 3.212 3.212 6.380
Tl 1.071 3.212 3.757
Tl 3.212 1.071 3.757
Cu 1.071 1.071 5.787
Cu 3.212 3.212 1.727
```


Record 8
Here is a relaxed structure of HoTlCu2 from the Alexandria database. Energies are from GGA-PBE.

Calculated values
The space-group type is Fm-3m. As for the crystal system: cubic. As for the density of states at the Fermi level: 2.2 states/eV/f.u. The energy of formation is -0.17 eV per atom.

Geometry as extended XYZ:
```
4
Lattice="0.000 3.337 3.337 3.337 0.000 3.337 3.337 3.337 0.000" Properties=species:S:1:pos:R:3 pbc="T T T"
Ho 0.000 0.000 0.000
Tl 3.337 3.337 3.337
Cu 1.669 1.669 1.669
Cu 5.006 5.006 5.006
```